Record 1
Material: TmBrO
Method: DFT, PBE
State: optimized geometry

Cell and atoms, written as POSCAR:
```
TmBrO
1.0
-3.624 0.095 0.298
1.921 -2.410 1.932
0.464 3.908 4.412
O Br Tm
1 1 1
direct
0.333 0.667 0.511
0.000 0.000 0.075
0.667 0.333 0.414
```

Properties
electronic total energy = -19.37 eV per cell
density of states at the Fermi level = 0.00 states/eV/cell
total magnetization = 0.000 μB per cell

Record 2
Material: Re3Br
Method: DFT, PBE
State: optimized geometry

Cell and atoms, written as POSCAR:
```
Re3Br
1.0
-2.110 2.110 7.626
2.110 -2.110 7.626
2.110 2.110 -7.626
Re Br
6 2
direct
0.846 0.846 0.000
0.750 0.250 0.500
0.154 0.154 0.000
0.500 0.000 0.500
0.250 0.750 0.500
0.000 0.500 0.500
0.596 0.596 0.000
0.404 0.404 0.000
```

Properties
density of states at the Fermi level = 6.63 states/eV/cell
offset from the most stable computed form = 469 meV/atom
total magnetization = 0.000 μB per cell

Record 3
Material: MgFeTc2
Method: DFT, PBE
State: optimized geometry

Cell and atoms, written as POSCAR:
```
MgFeTc2
1.0
5.121 -0.014 0.017
-2.392 4.528 0.017
0.392 0.648 2.499
Fe Mg Tc
1 1 2
direct
0.500 0.000 0.500
0.000 0.500 0.500
0.000 0.000 0.000
0.500 0.500 0.000
```

Properties
electronic total energy = -29.79 eV per cell
density of states at the Fermi level = 4.20 states/eV/cell
total magnetization = 2.554 μB per cell

Record 4
Material: ScAl3V
Method: DFT, PBE
State: optimized geometry

Cell and atoms, written as POSCAR:
```
ScAl3V
1.0
-1.663 1.028 -4.260
2.749 -3.304 -1.870
-3.413 -3.162 0.569
Sc V Al
1 1 3
direct
0.500 0.500 0.500
0.000 0.000 0.000
0.000 0.500 0.000
0.500 0.000 0.000
0.000 0.000 0.500
```

Properties
density of states at the Fermi level = 3.88 states/eV/cell
offset from the most stable computed form = 365 meV/atom
total magnetization = 0.001 μB per cell

Record 5
Material: PrNd2Zn2
Method: DFT, PBE
State: optimized geometry

Cell and atoms, written as POSCAR:
```
PrNd2Zn2
1.0
4.469 0.000 0.000
0.000 4.672 -0.230
0.000 -1.713 13.467
Pr Nd Zn
2 4 4
direct
0.250 0.636 0.269
0.750 0.364 0.731
0.250 0.265 0.528
0.250 0.943 0.891
0.750 0.057 0.109
0.750 0.735 0.472
0.250 0.522 0.046
0.750 0.478 0.954
0.250 0.833 0.664
0.750 0.167 0.336
```

Properties
density of states at the Fermi level = 10.60 states/eV/cell
offset from the most stable computed form = 72 meV/atom
total magnetization = 0.000 μB per cell

Record 6
Material: Tb2Nd5YEr
Method: DFT, PBE
State: optimized geometry

Cell and atoms, written as POSCAR:
```
Tb2Nd5YEr
1.0
-4.231 0.669 -3.709
4.426 -9.313 -2.400
-6.727 -4.946 6.783
Tb Y Er Nd
4 2 2 10
direct
0.112 0.224 0.738
0.115 0.230 0.312
0.885 0.770 0.812
0.888 0.776 0.238
0.199 0.399 0.010
0.801 0.601 0.510
0.408 0.816 0.463
0.592 0.184 0.963
0.386 0.772 0.021
0.016 0.033 0.018
0.720 0.439 0.811
0.984 0.967 0.518
0.517 0.035 0.244
0.280 0.561 0.311
0.298 0.595 0.707
0.483 0.965 0.744
0.614 0.228 0.521
0.702 0.405 0.207
```

Properties
electronic total energy = -85.76 eV per cell
density of states at the Fermi level = 28.15 states/eV/cell
total magnetization = 0.000 μB per cell

Record 7
Material: Ca2Tc3
Method: DFT, PBE
State: optimized geometry

Cell and atoms, written as POSCAR:
```
Ca2Tc3
1.0
4.443 6.602 4.139
-0.422 4.967 6.478
4.656 -1.464 2.829
Ca Tc
4 6
direct
0.388 0.512 0.284
0.966 0.434 0.862
0.738 0.862 0.434
0.816 0.284 0.512
0.116 0.884 0.884
0.366 0.134 0.134
0.380 0.875 0.445
0.300 0.445 0.875
0.805 0.950 0.870
0.375 0.870 0.950
```

Properties
density of states at the Fermi level = 8.00 states/eV/cell
offset from the most stable computed form = 0 meV/atom
total magnetization = 0.000 μB per cell

Record 8
Material: SrBe2P
Method: DFT, PBE
State: optimized geometry

Cell and atoms, written as POSCAR:
```
SrBe2P
1.0
-3.693 -1.477 -2.465
2.557 -3.473 -1.814
-0.318 0.517 4.640
Sr Be P
1 2 1
direct
0.750 0.250 0.500
0.250 0.750 0.500
0.000 0.000 0.000
0.500 0.500 0.000
```

Properties
electronic total energy = -12.31 eV per cell
density of states at the Fermi level = 2.01 states/eV/cell
total magnetization = 0.000 μB per cell

Record 9
Material: Li7Ca3Ag2
Method: DFT, PBE
State: optimized geometry

Cell and atoms, written as POSCAR:
```
Li7Ca3Ag2
1.0
5.636 0.000 1.764
2.542 5.030 1.764
-0.047 -0.029 10.037
Li Ca Ag
7 3 2
direct
0.577 0.577 0.772
0.500 0.500 0.500
0.925 0.423 0.228
0.577 0.075 0.772
0.075 0.577 0.772
0.423 0.423 0.228
0.423 0.925 0.228
0.142 0.142 0.574
0.858 0.858 0.426
0.000 0.000 0.000
0.667 0.667 0.000
0.333 0.333 0.000
```

Properties
electronic total energy = -26.16 eV per cell
density of states at the Fermi level = 7.17 states/eV/cell
total magnetization = 0.000 μB per cell

Record 10
Material: Zn6GaAg2
Method: DFT, PBE
State: optimized geometry

Cell and atoms, written as POSCAR:
```
Zn6GaAg2
1.0
5.981 1.061 0.000
-1.063 5.981 0.000
-2.459 -3.521 4.296
Zn Ag Ga
6 2 1
direct
0.284 0.284 0.567
0.716 0.716 0.433
0.284 0.716 0.000
0.716 0.284 0.000
0.284 0.284 0.000
0.716 0.716 0.000
0.750 0.250 0.500
0.250 0.750 0.500
0.000 0.000 0.000
```

Properties
electronic total energy = -14.80 eV per cell
density of states at the Fermi level = 2.18 states/eV/cell
total magnetization = 0.000 μB per cell

Record 11
Material: ZnBi2S4
Method: DFT, PBE
State: optimized geometry

Cell and atoms, written as POSCAR:
```
ZnBi2S4
1.0
6.919 -0.046 3.957
-2.219 6.554 3.957
0.034 0.047 7.973
Zn S Bi
2 8 4
direct
0.875 0.625 0.750
0.125 0.375 0.250
0.752 0.749 0.997
0.248 0.251 0.003
0.751 0.748 0.503
0.249 0.252 0.497
0.246 0.749 0.503
0.249 0.746 0.003
0.751 0.254 0.997
0.754 0.251 0.497
0.500 0.500 0.500
0.000 0.000 0.000
0.500 0.000 0.500
0.500 0.000 0.000
```

Properties
electronic total energy = -56.92 eV per cell
density of states at the Fermi level = 0.65 states/eV/cell
total magnetization = 0.000 μB per cell

Record 12
Material: Tl2ReHg
Method: DFT, PBE
State: optimized geometry

Cell and atoms, written as POSCAR:
```
Tl2ReHg
1.0
0.000 3.533 3.533
3.533 0.000 3.533
3.533 3.533 0.000
Tl Hg Re
2 1 1
direct
0.750 0.750 0.750
0.250 0.250 0.250
0.500 0.500 0.500
0.000 0.000 0.000
```

Properties
density of states at the Fermi level = 4.12 states/eV/cell
offset from the most stable computed form = 473 meV/atom
total magnetization = 0.000 μB per cell

Record 13
Material: Ba2Cu3Ge4
Method: DFT, PBE
State: optimized geometry

Cell and atoms, written as POSCAR:
```
Ba2Cu3Ge4
1.0
5.408 0.285 0.000
-2.261 4.921 0.000
-1.573 -2.603 8.043
Cu Ge Ba
3 4 2
direct
0.000 0.500 0.000
0.000 0.000 0.000
0.500 0.000 0.000
0.271 0.972 0.243
0.729 0.028 0.757
0.972 0.271 0.243
0.028 0.729 0.757
0.335 0.335 0.671
0.665 0.665 0.329
```

Properties
electronic total energy = -36.55 eV per cell
density of states at the Fermi level = 2.58 states/eV/cell
total magnetization = 0.000 μB per cell

Record 14
Material: Dy2Hg3Rh
Method: DFT, PBE
State: optimized geometry

Cell and atoms, written as POSCAR:
```
Dy2Hg3Rh
1.0
-1.151 -1.300 2.945
3.010 -3.780 -0.492
5.960 4.201 4.184
Hg Dy Rh
3 2 1
direct
0.500 0.500 0.655
0.500 0.000 0.829
0.500 0.000 0.166
0.000 0.500 0.050
0.000 0.000 0.472
0.500 0.500 0.327
```

Properties
electronic total energy = -20.19 eV per cell
density of states at the Fermi level = 4.83 states/eV/cell
total magnetization = 0.000 μB per cell

Record 15
Material: KSnP2Se8
Method: DFT, PBE
State: optimized geometry

Cell and atoms, written as POSCAR:
```
KSnP2Se8
1.0
-2.654 -0.039 -5.641
1.686 -4.279 -4.209
-7.741 -7.838 0.251
Se P K Sn
8 2 1 1
direct
0.188 0.188 0.436
0.394 0.682 0.836
0.088 0.394 0.836
0.318 0.912 0.164
0.682 0.088 0.836
0.606 0.318 0.164
0.912 0.606 0.164
0.812 0.812 0.564
0.743 0.743 0.772
0.257 0.257 0.228
0.500 0.500 0.500
0.000 0.000 0.000
```

Properties
electronic total energy = -46.18 eV per cell
density of states at the Fermi level = 12.89 states/eV/cell
total magnetization = 0.000 μB per cell

Record 16
Material: ZnTc6Ge8
Method: DFT, PBE
State: optimized geometry

Cell and atoms, written as POSCAR:
```
ZnTc6Ge8
1.0
3.088 0.000 0.000
0.000 9.844 0.000
0.000 -4.922 8.525
Ge Tc Zn
8 6 1
direct
0.750 0.667 0.333
0.250 0.926 0.270
0.750 0.074 0.730
0.750 0.270 0.343
0.250 0.730 0.657
0.750 0.657 0.926
0.250 0.333 0.667
0.250 0.343 0.074
0.250 0.483 0.371
0.750 0.517 0.629
0.750 0.371 0.888
0.750 0.112 0.483
0.250 0.629 0.112
0.250 0.888 0.517
0.500 0.000 0.000
```

Properties
electronic total energy = -100.76 eV per cell
density of states at the Fermi level = 7.11 states/eV/cell
total magnetization = 0.000 μB per cell

Record 17
Material: ScHg2AuF
Method: DFT, PBE
State: optimized geometry

Cell and atoms, written as POSCAR:
```
ScHg2AuF
1.0
-2.224 4.658 0.705
-1.479 -1.243 3.547
4.308 1.695 2.390
Au Hg F Sc
1 2 1 1
direct
0.500 0.500 0.500
0.000 0.000 0.500
0.500 0.000 0.000
0.000 0.000 0.000
0.000 0.500 0.000
```

Properties
electronic total energy = -15.43 eV per cell
density of states at the Fermi level = 4.40 states/eV/cell
total magnetization = 0.000 μB per cell

Record 18
Material: Cs2ZnAsCl6
Method: DFT, PBE
State: optimized geometry

Cell and atoms, written as POSCAR:
```
Cs2ZnAsCl6
1.0
7.482 0.000 0.000
0.000 7.482 0.000
3.741 3.741 5.573
Cl Cs As Zn
6 2 1 1
direct
0.763 0.237 0.000
0.237 0.763 0.000
0.763 0.763 0.000
0.699 0.699 0.602
0.237 0.237 0.000
0.301 0.301 0.398
0.250 0.750 0.500
0.750 0.250 0.500
0.000 0.000 0.000
0.500 0.500 0.000
```

Properties
electronic total energy = -31.14 eV per cell
density of states at the Fermi level = 0.00 states/eV/cell
total magnetization = 1.000 μB per cell

Record 19
Material: Ac2CoP
Method: DFT, PBE
State: optimized geometry

Cell and atoms, written as POSCAR:
```
Ac2CoP
1.0
5.252 0.000 0.000
2.626 4.548 0.000
2.626 1.516 4.288
P Co Ac
1 1 2
direct
0.500 0.500 0.500
0.000 0.000 0.000
0.250 0.250 0.250
0.750 0.750 0.750
```

Properties
density of states at the Fermi level = 3.69 states/eV/cell
offset from the most stable computed form = 82 meV/atom
total magnetization = 0.117 μB per cell

Record 20
Material: Sm3Dy2Pb4
Method: DFT, PBE
State: optimized geometry

Cell and atoms, written as POSCAR:
```
Sm3Dy2Pb4
1.0
4.875 0.000 -1.363
-0.496 6.606 -1.775
-0.212 0.058 8.642
Pb Sm Dy
4 3 2
direct
0.507 0.283 0.015
0.247 0.296 0.493
0.493 0.717 0.985
0.753 0.704 0.507
0.884 0.418 0.768
0.116 0.582 0.232
0.000 0.000 0.000
0.668 0.075 0.336
0.332 0.925 0.664
```

Properties
electronic total energy = -42.33 eV per cell
density of states at the Fermi level = 5.47 states/eV/cell
total magnetization = 0.000 μB per cell

Record 21
Material: Pr2Dy7Y
Method: DFT, PBE
State: optimized geometry

Cell and atoms, written as POSCAR:
```
Pr2Dy7Y
1.0
4.771 1.536 -0.661
2.438 7.148 -4.446
-1.170 -0.102 10.665
Dy Y Pr
7 1 2
direct
0.100 0.700 0.602
0.797 0.603 0.801
0.300 0.102 0.803
0.900 0.300 0.398
0.500 0.500 0.000
0.700 0.898 0.197
0.203 0.397 0.199
0.000 0.000 0.000
0.403 0.796 0.397
0.597 0.204 0.603
```

Properties
density of states at the Fermi level = 13.98 states/eV/cell
offset from the most stable computed form = 0 meV/atom
total magnetization = 0.000 μB per cell

Record 22
Material: Cs4Pu3TlBr12
Method: DFT, PBE
State: optimized geometry

Cell and atoms, written as POSCAR:
```
Cs4Pu3TlBr12
1.0
10.380 0.000 0.000
-3.460 9.786 0.000
-3.460 -4.893 8.475
Br Cs Pu Tl
12 4 3 1
direct
0.000 0.738 0.738
0.250 0.500 0.750
0.262 0.000 0.262
0.262 0.262 0.000
0.738 0.738 0.000
0.750 0.500 0.250
0.750 0.250 0.500
0.738 0.000 0.738
0.500 0.250 0.750
0.000 0.262 0.262
0.500 0.750 0.250
0.250 0.750 0.500
0.000 0.500 0.000
0.500 0.000 0.000
0.500 0.500 0.500
0.000 0.000 0.500
0.000 0.500 0.500
0.500 0.000 0.500
0.500 0.500 0.000
0.000 0.000 0.000
```

Properties
electronic total energy = -100.02 eV per cell
density of states at the Fermi level = 51.85 states/eV/cell
total magnetization = 17.000 μB per cell

Record 23
Material: Ho4Zn5Ga2
Method: DFT, PBE
State: optimized geometry

Cell and atoms, written as POSCAR:
```
Ho4Zn5Ga2
1.0
3.697 0.000 0.000
0.000 7.066 0.085
0.000 -0.575 8.956
Zn Ho Ga
5 4 2
direct
0.000 0.560 0.301
0.000 0.440 0.699
0.000 0.189 0.152
0.000 0.811 0.848
0.000 0.500 0.000
0.500 0.184 0.877
0.500 0.266 0.428
0.500 0.734 0.572
0.500 0.816 0.123
0.000 0.061 0.636
0.000 0.939 0.364
```

Properties
electronic total energy = -34.57 eV per cell
density of states at the Fermi level = 6.20 states/eV/cell
total magnetization = 0.000 μB per cell